[1]
Crystalline BiRhSe2 at its relaxed geometry, computed with PBE-GGA.

Unit cell a=3.744 b=6.448 c=8.595 alpha=104.92 beta=90.02 gamma=106.88
Sites, in units of the cell vectors:
Bi: 0.000 0.000 0.000
Bi: 0.012 0.022 0.413
Rh: 0.326 0.650 0.385
Rh: 0.918 0.832 0.663
Se: 0.283 0.562 0.642
Se: 0.353 0.705 0.088
Se: 0.565 0.126 0.739
Se: 0.695 0.389 0.273

**Symmetry**: P1, No. 1
**ΔE_f (raw)**: -272.4 meV/atom
**Total moment**: 0.000 μB per atom
**D(E_F)**: 1.418 states/eV/f.u.



[2]
Crystalline ZnFe2C at its relaxed geometry, computed with PBE-GGA.

Unit cell a=2.813 b=2.813 c=18.781 alpha=90.00 beta=90.00 gamma=120.00
Sites, in units of the cell vectors:
Zn: 0.000 0.000 0.000
Zn: 0.333 0.667 0.667
Zn: 0.667 0.333 0.333
Fe: 0.000 0.000 0.221
Fe: 0.000 0.000 0.779
Fe: 0.333 0.667 0.445
Fe: 0.333 0.667 0.888
Fe: 0.667 0.333 0.112
Fe: 0.667 0.333 0.555
C: 0.000 0.000 0.500
C: 0.333 0.667 0.167
C: 0.667 0.333 0.833

**Symmetry**: R-3m, No. 166
**ΔE to the lowest computed polymorph**: 0.017 eV per atom
**Calculated formation energy**: 65 meV/atom
**Total moment**: 0.651 μB per atom
**D(E_F)**: 3.271 states/eV/f.u.



[3]
Crystalline BeCd2Si at its relaxed geometry, computed with PBE-GGA.

Unit cell a=2.750 b=3.657 c=7.545 alpha=90.00 beta=92.01 gamma=90.00
Sites, in units of the cell vectors:
Be: 0.000 0.000 0.000
Cd: 0.017 0.500 0.590
Cd: 0.514 0.000 0.299
Si: 0.499 0.500 0.921

**Symmetry**: Pm, No. 6
**ΔE to the lowest computed polymorph**: 0.004 eV per atom
**ΔE_f (raw)**: 287.8 meV/atom
**Total moment**: 0.000 μB per atom
**D(E_F)**: 0.794 states/eV/f.u.



[4]
Crystalline Nb2VRh2 at its relaxed geometry, computed with PBE-GGA.

Unit cell a=4.059 b=4.059 c=11.339 alpha=90.00 beta=90.00 gamma=90.00
Sites, in units of the cell vectors:
Nb: 0.000 0.500 0.250
Nb: 0.000 0.500 0.750
Nb: 0.500 0.000 0.250
Nb: 0.500 0.000 0.750
V: 0.000 0.000 0.000
V: 0.500 0.500 0.500
Rh: 0.000 0.000 0.393
Rh: 0.000 0.000 0.607
Rh: 0.500 0.500 0.107
Rh: 0.500 0.500 0.893

**Symmetry**: I4/mmm, No. 139
**ΔE to the lowest computed polymorph**: 0.362 eV per atom
**Calculated formation energy**: 262 meV/atom
**Total moment**: 0.596 μB per atom
**D(E_F)**: 7.136 states/eV/f.u.



[5]
Crystalline KTa2Ru at its relaxed geometry, computed with PBE-GGA.

Unit cell a=3.050 b=4.946 c=5.025 alpha=90.00 beta=90.00 gamma=90.00
Sites, in units of the cell vectors:
K: 0.000 0.000 0.000
Ta: 0.000 0.500 0.500
Ta: 0.500 0.500 0.000
Ru: 0.500 0.000 0.500

**Symmetry**: Pmmm, No. 47
**ΔE to the lowest computed polymorph**: 0.824 eV per atom
**Calculated formation energy**: 1311 meV/atom
**Total moment**: 0.049 μB per atom
**D(E_F)**: 5.037 states/eV/f.u.



[6]
Crystalline MgHCl2 at its relaxed geometry, computed with PBE-GGA.

Unit cell a=6.875 b=6.875 c=9.765 alpha=90.00 beta=90.00 gamma=90.00
Sites, in units of the cell vectors:
Mg: 0.000 0.000 0.000
Mg: 0.000 0.500 0.250
Mg: 0.500 0.000 0.750
Mg: 0.500 0.500 0.500
H: 0.000 0.000 0.500
H: 0.000 0.500 0.750
H: 0.500 0.000 0.250
H: 0.500 0.500 0.000
Cl: 0.156 0.250 0.125
Cl: 0.250 0.656 0.375
Cl: 0.250 0.844 0.875
Cl: 0.344 0.250 0.625
Cl: 0.656 0.750 0.625
Cl: 0.750 0.156 0.875
Cl: 0.750 0.344 0.375
Cl: 0.844 0.750 0.125

**Symmetry**: I-42d, No. 122
**Total moment**: 0.250 μB per atom
**D(E_F)**: 0.000 states/eV/f.u.
**Total DFT energy (no corrections)**: -2.93 eV per atom